Version A
First-principles (PBE) data for TlPCO2 after structural relaxation, as listed in Alexandria via LeMat-Bulk.

a b c (Å): 3.819 3.819 4.003
angles (deg): 90.00 90.00 90.00
Space group P4/mmm (No. 123)
Symmetry-distinct sites (fractional):
Tl 0.000 0.000 0.000 [1 per cell]
P 0.500 0.500 0.000 [1 per cell]
C 0.500 0.500 0.500 [1 per cell]
O 0.000 0.500 0.500 [2 per cell]

Calculated values
As for the crystal system: tetragonal. The calculation puts the total magnetization at 0.00 μB per formula unit.


Version B
First-principles (PBE) data for TlPCO2 after structural relaxation, as listed in Alexandria via LeMat-Bulk.

a b c (Å): 3.932 3.932 6.968
angles (deg): 90.00 90.00 90.00
Space group P4/mmm (No. 123)
Symmetry-distinct sites (fractional):
Tl 0.000 0.000 0.000 [1 per cell]
P 0.000 0.000 0.500 [1 per cell]
C 0.500 0.500 0.500 [1 per cell]
O 0.000 0.500 0.000 [2 per cell]

Calculated values
As for the crystal system: tetragonal. The calculation puts the total magnetization at 0.55 μB per formula unit.


How do the energies compare? Relative to the most stable structure, in kJ/mol of atoms: version A 0.0; version B 91.8.